First-principles (PBE-GGA) data for a relaxed BaAl2IrO8 crystal, as listed in Alexandria.

Output
Size of the total moment ... 0.97 Bohr magnetons per cell
Crystal system ... triclinic
Formation energy without anion corrections ... -21.47 eV/f.u.
Final energy ... -0.4863 Ry per atom

Geometry as CIF:
```
data_BaAl2IrO8
_chemical_formula_sum 'Ba1 Al2 Ir1 O8'
_symmetry_space_group_name_H-M 'P -1'
_symmetry_Int_Tables_number 2
_cell_length_a 4.535
_cell_length_b 4.547
_cell_length_c 7.429
_cell_angle_alpha 92.91
_cell_angle_beta 92.36
_cell_angle_gamma 90.28
loop_
_symmetry_equiv_pos_as_xyz
'x,y,z'
'-x,-y,-z'
loop_
_atom_site_label
_atom_site_type_symbol
_atom_site_fract_x
_atom_site_fract_y
_atom_site_fract_z
Ba1 Ba 0.000 0.000 0.000
Al1 Al 0.497 0.495 0.318
Ir1 Ir 0.000 0.000 0.500
O1 O 0.205 0.199 0.320
O2 O 0.220 0.221 0.700
O3 O 0.301 0.697 0.500
O4 O 0.425 0.418 0.069
```